*i*
# Tc3SnMo | Alexandria via LeMat-Bulk | PBE-GGA | relaxed
data_Tc3SnMo
_chemical_formula_sum 'Tc3 Sn1 Mo1'
_cell_length_a 4.7195
_cell_length_b 4.7195
_cell_length_c 4.7195
_cell_angle_alpha 90.00
_cell_angle_beta 90.00
_cell_angle_gamma 90.00
_space_group_name_H-M_alt 'P m -3 m'
_space_group_IT_number 221
_space_group_name_Hall '-P 4 2 3'
loop_
_atom_site_label
_atom_site_fract_x
_atom_site_fract_y
_atom_site_fract_z
_atom_site_occupancy
Tc1 0.0000 0.0000 0.5000 1
Sn1 0.0000 0.0000 0.0000 1
Mo1 0.5000 0.5000 0.5000 1
# - total moment (μB/cell) = 0.00
# - DOS(E_F) (states/eV/atom) = 0.916
# - crystal system = cubic

***

*ii*
# Tc3SnMo | Alexandria via LeMat-Bulk | PBE-GGA | relaxed
data_Tc3SnMo
_chemical_formula_sum 'Tc3 Sn1 Mo1'
_cell_length_a 4.7066
_cell_length_b 4.7066
_cell_length_c 4.7066
_cell_angle_alpha 90.00
_cell_angle_beta 90.00
_cell_angle_gamma 90.00
_space_group_name_H-M_alt 'P m -3 m'
_space_group_IT_number 221
_space_group_name_Hall '-P 4 2 3'
loop_
_atom_site_label
_atom_site_fract_x
_atom_site_fract_y
_atom_site_fract_z
_atom_site_occupancy
Tc1 0.0000 0.0000 0.5000 1
Sn1 0.5000 0.5000 0.5000 1
Mo1 0.0000 0.0000 0.0000 1
# - total moment (μB/cell) = 2.13
# - DOS(E_F) (states/eV/atom) = 1.189
# - crystal system = cubic

***

The data favor *ii*; the next most stable structure lies 867 meV per atom above it.

***

*i*
# SnTe3Mo | Alexandria via LeMat-Bulk | PBE-GGA | relaxed
data_SnTe3Mo
_chemical_formula_sum 'Sn1 Te3 Mo1'
_cell_length_a 5.6581
_cell_length_b 5.6581
_cell_length_c 5.6581
_cell_angle_alpha 90.00
_cell_angle_beta 90.00
_cell_angle_gamma 90.00
_space_group_name_H-M_alt 'P m -3 m'
_space_group_IT_number 221
_space_group_name_Hall '-P 4 2 3'
loop_
_atom_site_label
_atom_site_fract_x
_atom_site_fract_y
_atom_site_fract_z
_atom_site_occupancy
Sn1 0.0000 0.0000 0.0000 1
Te1 0.0000 0.0000 0.5000 1
Mo1 0.5000 0.5000 0.5000 1
# - total moment (μB/cell) = 3.73
# - DOS(E_F) (states/eV/atom) = 1.272
# - crystal system = cubic

***

*ii*
# SnTe3Mo | Alexandria via LeMat-Bulk | PBE-GGA | relaxed
data_SnTe3Mo
_chemical_formula_sum 'Sn1 Te3 Mo1'
_cell_length_a 5.3530
_cell_length_b 5.3530
_cell_length_c 5.3530
_cell_angle_alpha 90.00
_cell_angle_beta 90.00
_cell_angle_gamma 90.00
_space_group_name_H-M_alt 'P m -3 m'
_space_group_IT_number 221
_space_group_name_Hall '-P 4 2 3'
loop_
_atom_site_label
_atom_site_fract_x
_atom_site_fract_y
_atom_site_fract_z
_atom_site_occupancy
Sn1 0.0000 0.0000 0.0000 1
Te1 0.0000 0.5000 0.5000 1
Mo1 0.5000 0.5000 0.5000 1
# - total moment (μB/cell) = 1.65
# - DOS(E_F) (states/eV/atom) = 1.070
# - crystal system = cubic

***

The data favor *ii*; the next most stable structure lies 762 meV per atom above it.

***

*i*
# SnTeMo2 | Alexandria via LeMat-Bulk | PBE-GGA | relaxed
data_SnTeMo2
_chemical_formula_sum 'Sn4 Te4 Mo8'
_cell_length_a 7.5892
_cell_length_b 7.5892
_cell_length_c 6.0380
_cell_angle_alpha 90.00
_cell_angle_beta 90.00
_cell_angle_gamma 90.00
_space_group_name_H-M_alt 'I -4 2 d'
_space_group_IT_number 122
_space_group_name_Hall 'I -4 2bw'
loop_
_atom_site_label
_atom_site_fract_x
_atom_site_fract_y
_atom_site_fract_z
_atom_site_occupancy
Sn1 0.0000 0.0000 0.0000 1
Te1 0.0000 0.0000 0.5000 1
Mo1 0.2187 0.2500 0.6250 1
# - total moment (μB/cell) = 10.60
# - DOS(E_F) (states/eV/atom) = 1.188
# - crystal system = tetragonal

***

*ii*
# SnTeMo2 | Alexandria via LeMat-Bulk | PBE-GGA | relaxed
data_SnTeMo2
_chemical_formula_sum 'Sn4 Te4 Mo8'
_cell_length_a 6.6496
_cell_length_b 6.6496
_cell_length_c 6.6496
_cell_angle_alpha 90.00
_cell_angle_beta 90.00
_cell_angle_gamma 90.00
_space_group_name_H-M_alt 'F m -3 m'
_space_group_IT_number 225
_space_group_name_Hall '-F 4 2 3'
loop_
_atom_site_label
_atom_site_fract_x
_atom_site_fract_y
_atom_site_fract_z
_atom_site_occupancy
Sn1 0.0000 0.0000 0.0000 1
Te1 0.0000 0.0000 0.5000 1
Mo1 0.2500 0.2500 0.2500 1
# - total moment (μB/cell) = 0.00
# - DOS(E_F) (states/eV/atom) = 0.861
# - crystal system = cubic

***

The data favor *ii*; the next most stable structure lies 626 meV per atom above it.

***

*i*
# Sn3TeMo | Alexandria via LeMat-Bulk | PBE-GGA | relaxed
data_Sn3TeMo
_chemical_formula_sum 'Sn3 Te1 Mo1'
_cell_length_a 5.7685
_cell_length_b 5.7685
_cell_length_c 5.7685
_cell_angle_alpha 90.00
_cell_angle_beta 90.00
_cell_angle_gamma 90.00
_space_group_name_H-M_alt 'P m -3 m'
_space_group_IT_number 221
_space_group_name_Hall '-P 4 2 3'
loop_
_atom_site_label
_atom_site_fract_x
_atom_site_fract_y
_atom_site_fract_z
_atom_site_occupancy
Sn1 0.0000 0.0000 0.5000 1
Te1 0.0000 0.0000 0.0000 1
Mo1 0.5000 0.5000 0.5000 1
# - total moment (μB/cell) = 4.38
# - DOS(E_F) (states/eV/atom) = 0.809
# - crystal system = cubic

***

*ii*
# Sn3TeMo | Alexandria via LeMat-Bulk | PBE-GGA | relaxed
data_Sn3TeMo
_chemical_formula_sum 'Sn3 Te1 Mo1'
_cell_length_a 5.3190
_cell_length_b 5.3190
_cell_length_c 5.3190
_cell_angle_alpha 90.00
_cell_angle_beta 90.00
_cell_angle_gamma 90.00
_space_group_name_H-M_alt 'P m -3 m'
_space_group_IT_number 221
_space_group_name_Hall '-P 4 2 3'
loop_
_atom_site_label
_atom_site_fract_x
_atom_site_fract_y
_atom_site_fract_z
_atom_site_occupancy
Sn1 0.0000 0.0000 0.5000 1
Te1 0.5000 0.5000 0.5000 1
Mo1 0.0000 0.0000 0.0000 1
# - total moment (μB/cell) = 1.89
# - DOS(E_F) (states/eV/atom) = 0.809
# - crystal system = cubic

***

The data favor *ii*; the next most stable structure lies 1090 meV per atom above it.

***

*i*
# Sn2Te2Mo | Alexandria via LeMat-Bulk | PBE-GGA | relaxed
data_Sn2Te2Mo
_chemical_formula_sum 'Sn4 Te4 Mo2'
_cell_length_a 7.5414
_cell_length_b 7.5414
_cell_length_c 4.7065
_cell_angle_alpha 90.00
_cell_angle_beta 90.00
_cell_angle_gamma 90.00
_space_group_name_H-M_alt 'P 4/m b m'
_space_group_IT_number 127
_space_group_name_Hall '-P 4 2ab'
loop_
_atom_site_label
_atom_site_fract_x
_atom_site_fract_y
_atom_site_fract_z
_atom_site_occupancy
Sn1 0.1433 0.3567 0.0000 1
Te1 0.1876 0.6876 0.5000 1
Mo1 0.0000 0.0000 0.0000 1
# - total moment (μB/cell) = 4.08
# - DOS(E_F) (states/eV/atom) = 0.360
# - crystal system = tetragonal

***

*ii*
# Sn2Te2Mo | Alexandria via LeMat-Bulk | PBE-GGA | relaxed
data_Sn2Te2Mo
_chemical_formula_sum 'Sn4 Te4 Mo2'
_cell_length_a 3.9816
_cell_length_b 3.9816
_cell_length_c 18.6958
_cell_angle_alpha 90.00
_cell_angle_beta 90.00
_cell_angle_gamma 90.00
_space_group_name_H-M_alt 'I 4/m m m'
_space_group_IT_number 139
_space_group_name_Hall '-I 4 2'
loop_
_atom_site_label
_atom_site_fract_x
_atom_site_fract_y
_atom_site_fract_z
_atom_site_occupancy
Sn1 0.0000 0.0000 0.0781 1
Te1 0.0000 0.5000 0.2500 1
Mo1 0.0000 0.0000 0.5000 1
# - total moment (μB/cell) = 3.28
# - DOS(E_F) (states/eV/atom) = 0.824
# - crystal system = tetragonal

***

The data favor *i*; the next most stable structure lies 210 meV per atom above it.

***

*i*
# TlSn2Mo | Alexandria via LeMat-Bulk | PBE-GGA | relaxed
data_TlSn2Mo
_chemical_formula_sum 'Tl4 Sn8 Mo4'
_cell_length_a 7.2659
_cell_length_b 7.2659
_cell_length_c 7.2659
_cell_angle_alpha 90.00
_cell_angle_beta 90.00
_cell_angle_gamma 90.00
_space_group_name_H-M_alt 'F m -3 m'
_space_group_IT_number 225
_space_group_name_Hall '-F 4 2 3'
loop_
_atom_site_label
_atom_site_fract_x
_atom_site_fract_y
_atom_site_fract_z
_atom_site_occupancy
Tl1 0.0000 0.0000 0.0000 1
Sn1 0.2500 0.2500 0.2500 1
Mo1 0.0000 0.0000 0.5000 1
# - total moment (μB/cell) = 10.52
# - DOS(E_F) (states/eV/atom) = 1.122
# - crystal system = cubic

***

*ii*
# TlSn2Mo | Alexandria via LeMat-Bulk | PBE-GGA | relaxed
data_TlSn2Mo
_chemical_formula_sum 'Tl3 Sn6 Mo3'
_cell_length_a 3.2688
_cell_length_b 3.2688
_cell_length_c 31.3111
_cell_angle_alpha 90.00
_cell_angle_beta 90.00
_cell_angle_gamma 120.00
_space_group_name_H-M_alt 'R -3 m'
_space_group_IT_number 166
_space_group_name_Hall '-R 3 2"'
loop_
_atom_site_label
_atom_site_fract_x
_atom_site_fract_y
_atom_site_fract_z
_atom_site_occupancy
Tl1 0.0000 0.0000 0.0000 1
Sn1 0.0000 0.0000 0.0996 1
Mo1 0.0000 0.0000 0.5000 1
# - total moment (μB/cell) = 0.00
# - DOS(E_F) (states/eV/atom) = 0.496
# - crystal system = trigonal

***

The data favor *ii*; the next most stable structure lies 422 meV per atom above it.